VASP calculation (PBE+U) on crystalline LiMnO2 at its relaxed geometry.

Results
Magnetization = 1.000 μB/atom
Total DFT energy (no corrections) = -6.593 eV/atom

POSCAR file:
```
LiMnO2
1.0
5.9416 -0.0017 -0.0003
-2.9571 5.2066 0.0056
0.0226 -0.2980 14.6003
Li O Mn
12 24 12
Direct
0.9732 0.4839 0.4995
0.8261 0.1854 0.8325
0.2015 0.8436 0.1579
0.5074 0.0064 0.9981
0.4734 0.4916 0.5107
0.4940 0.9986 0.5006
0.1603 0.3355 0.6661
0.8360 0.6641 0.3343
0.6944 0.8276 0.1744
0.3167 0.1781 0.8216
0.1768 0.3357 0.1661
0.8318 0.6717 0.8317
0.8729 0.6795 0.0817
0.3073 0.1438 0.5833
0.0203 0.5299 0.7479
0.6876 0.3637 0.9293
0.5013 0.5238 0.7481
0.6578 0.3071 0.4031
0.0137 0.0227 0.2599
0.1736 0.8613 0.4118
0.3441 0.6910 0.5940
0.1387 0.3317 0.9190
0.5093 0.0297 0.7535
0.6886 0.8636 0.4108
0.6453 0.8077 0.9198
0.5292 0.9910 0.2508
0.9830 0.4675 0.2541
0.3257 0.6477 0.0723
0.8521 0.2019 0.0778
0.5007 0.4752 0.2520
0.8133 0.6407 0.5789
0.1596 0.8084 0.9222
0.3634 0.1965 0.0809
0.8231 0.1439 0.5854
0.1410 0.3389 0.4132
0.9873 0.9799 0.7384
0.0036 0.0042 0.9988
0.9923 0.9924 0.5003
0.1633 0.8342 0.6653
0.6639 0.3353 0.6663
0.6645 0.8365 0.6670
0.8356 0.1653 0.3325
0.6759 0.3352 0.1662
0.3364 0.6781 0.8319
0.3355 0.1664 0.3325
0.0060 0.5054 0.9998
0.5048 0.5041 0.9998
0.3346 0.6665 0.3336
```